<a>
Computed, not measured: a relaxed V4Si2N crystal at the PBE level of DFT.

a b c (Å): 3.805 3.805 6.894
angles (deg): 73.98 73.98 90.00
Each line ends with the local moment (μB).
Positions (direct):
V 0.838 0.838 0.325  0.78
Si 0.356 0.356 0.288  -0.02
Si 0.644 0.644 0.712  -0.02
V 0.000 0.500 0.000  0.25
V 0.162 0.162 0.675  0.78
N 0.000 0.000 0.000  -0.01
V 0.500 0.000 0.000  0.25

Computed properties:
magnetic moment = 2.234 μB per formula unit
space group = I4/mmm (139)
crystal system = tetragonal



<b>
Computed, not measured: a relaxed V4Si2N crystal at the PBE level of DFT.

a b c (Å): 2.933 6.500 8.973
angles (deg): 90.00 90.00 90.00
Positions (direct):
V 0.500 0.681 0.077
V 0.000 0.642 0.803
V 0.000 0.142 0.697
V 0.500 0.819 0.577
V 0.000 0.358 0.197
Si 0.500 0.439 0.634
N 0.000 0.500 0.000
Si 0.500 0.561 0.366
V 0.500 0.181 0.423
V 0.000 0.858 0.303
Si 0.500 0.061 0.134
Si 0.500 0.939 0.866
N 0.000 0.000 0.500
V 0.500 0.319 0.923

Computed properties:
magnetic moment = 0.000 μB per formula unit
space group = Pbam (55)
crystal system = orthorhombic



Pick <b>: it beats the second-best structure by 25.3 kJ/mol of atoms.



<a>
Computed, not measured: a relaxed VSi3N crystal at the PBE level of DFT.

a b c (Å): 3.939 3.939 3.939
angles (deg): 90.00 90.00 90.00
Each line ends with the local moment (μB).
Positions (direct):
Si 0.000 0.000 0.500  0.00
Si 0.000 0.500 0.000  0.00
Si 0.500 0.000 0.000  0.00
V 0.500 0.500 0.500  0.18
N 0.000 0.000 0.000  -0.01

Computed properties:
magnetic moment = 0.185 μB per formula unit
space group = Pm-3m (221)
crystal system = cubic



<b>
Computed, not measured: a relaxed VSi3N crystal at the PBE level of DFT.

a b c (Å): 4.598 4.598 4.598
angles (deg): 90.00 90.00 90.00
Each line ends with the local moment (μB).
Positions (direct):
N 0.500 0.500 0.500  1.68
Si 0.000 0.500 0.000  0.02
Si 0.000 0.000 0.500  0.02
Si 0.500 0.000 0.000  0.02
V 0.000 0.000 0.000  0.69

Computed properties:
magnetic moment = 3.426 μB per formula unit
space group = Pm-3m (221)
crystal system = cubic



Pick <a>: it beats the second-best structure by 87.1 kJ/mol of atoms.



<a>
Computed, not measured: a relaxed YSi2N crystal at the PBE level of DFT.

a b c (Å): 4.592 4.592 4.592
angles (deg): 60.00 60.00 60.00
Positions (direct):
Y 0.500 0.500 0.500
Si 0.750 0.750 0.750
N 0.000 0.000 0.000
Si 0.250 0.250 0.250

Computed properties:
magnetic moment = 0.000 μB per formula unit
space group = Fm-3m (225)
crystal system = cubic



<b>
Computed, not measured: a relaxed YSi2N crystal at the PBE level of DFT.

a b c (Å): 6.223 6.223 5.630
angles (deg): 56.45 56.45 90.00
Positions (direct):
Si 0.251 0.625 0.250
Si 0.875 0.749 0.750
Y 0.750 0.250 0.500
Si 0.375 0.501 0.750
N 0.500 0.500 0.000
Y 0.000 0.000 0.000
Si 0.499 0.125 0.250
N 0.250 0.750 0.500

Computed properties:
magnetic moment = 0.000 μB per formula unit
space group = I-42d (122)
crystal system = tetragonal



Pick <b>: it beats the second-best structure by 109.8 kJ/mol of atoms.



<a>
Computed, not measured: a relaxed Zn2SiN crystal at the PBE level of DFT.

a b c (Å): 4.245 4.245 4.245
angles (deg): 60.00 60.00 60.00
Positions (direct):
Si 0.500 0.500 0.500
N 0.000 0.000 0.000
Zn 0.250 0.250 0.250
Zn 0.750 0.750 0.750

Computed properties:
magnetic moment = 0.000 μB per formula unit
space group = Fm-3m (225)
crystal system = cubic



<b>
Computed, not measured: a relaxed Zn2SiN crystal at the PBE level of DFT.

a b c (Å): 5.527 5.527 5.739
angles (deg): 61.21 61.21 90.00
Positions (direct):
Zn 0.875 0.784 0.750
Zn 0.534 0.125 0.250
N 0.250 0.750 0.500
Zn 0.216 0.625 0.250
Zn 0.375 0.466 0.750
N 0.500 0.500 0.000
Si 0.000 0.000 0.000
Si 0.750 0.250 0.500

Computed properties:
magnetic moment = 0.000 μB per formula unit
space group = I-42d (122)
crystal system = tetragonal



Pick <b>: it beats the second-best structure by 64.5 kJ/mol of atoms.



<a>
Computed, not measured: a relaxed Zr2SiN crystal at the PBE level of DFT.

a b c (Å): 4.473 4.473 4.473
angles (deg): 60.00 60.00 60.00
Positions (direct):
N 0.000 0.000 0.000
Si 0.500 0.500 0.500
Zr 0.750 0.750 0.750
Zr 0.250 0.250 0.250

Computed properties:
magnetic moment = 0.000 μB per formula unit
space group = Fm-3m (225)
crystal system = cubic



<b>
Computed, not measured: a relaxed Zr2SiN crystal at the PBE level of DFT.

a b c (Å): 3.286 3.286 7.042
angles (deg): 76.51 76.51 60.00
Positions (direct):
Zr 0.229 0.229 0.314
Si 0.000 0.000 0.000
Zr 0.771 0.771 0.686
N 0.500 0.500 0.500

Computed properties:
magnetic moment = 0.000 μB per formula unit
space group = R-3m (166)
crystal system = trigonal



Pick <b>: it beats the second-best structure by 98.1 kJ/mol of atoms.



<a>
Computed, not measured: a relaxed ZrSi3N crystal at the PBE level of DFT.

a b c (Å): 5.119 5.119 5.119
angles (deg): 90.00 90.00 90.00
Each line ends with the local moment (μB).
Positions (direct):
N 0.500 0.500 0.500  1.79
Zr 0.000 0.000 0.000  0.12
Si 0.500 0.000 0.000  0.03
Si 0.000 0.500 0.000  0.03
Si 0.000 0.000 0.500  0.02

Computed properties:
magnetic moment = 3.029 μB per formula unit
space group = Pm-3m (221)
crystal system = cubic



<b>
Computed, not measured: a relaxed ZrSi3N crystal at the PBE level of DFT.

a b c (Å): 4.099 4.099 4.099
angles (deg): 90.00 90.00 90.00
Positions (direct):
Si 0.000 0.500 0.000
Si 0.000 0.000 0.500
Si 0.500 0.000 0.000
Zr 0.500 0.500 0.500
N 0.000 0.000 0.000

Computed properties:
magnetic moment = 0.000 μB per formula unit
space group = Pm-3m (221)
crystal system = cubic



Pick <b>: it beats the second-best structure by 157.7 kJ/mol of atoms.



<a>
Computed, not measured: a relaxed SmN4 crystal at the PBE level of DFT.

a b c (Å): 4.800 4.800 4.800
angles (deg): 90.00 90.00 90.00
Each line ends with the local moment (μB).
Positions (direct):
Sm 0.500 0.500 0.500  0.03
N 0.500 0.500 0.000  1.34
N 0.500 0.000 0.500  1.34
N 0.000 0.000 0.000  1.89
N 0.000 0.500 0.500  1.34

Computed properties:
magnetic moment = 9.000 μB per formula unit
space group = Pm-3m (221)
crystal system = cubic



<b>
Computed, not measured: a relaxed SmN4 crystal at the PBE level of DFT.

a b c (Å): 4.248 5.135 8.236
angles (deg): 125.16 89.99 114.45
Positions (direct):
N 0.760 0.036 0.018
N 0.024 0.563 0.482
Sm 0.325 0.300 0.250
N 0.833 0.600 0.591
N 0.268 0.601 0.091
N 0.040 0.564 0.982
N 0.532 0.999 0.909
N 0.776 0.036 0.518
Sm 0.475 0.300 0.750
N 0.967 0.999 0.409

Computed properties:
magnetic moment = 0.000 μB per formula unit
space group = C2/c (15)
crystal system = monoclinic



Pick <b>: it beats the second-best structure by 281.2 kJ/mol of atoms.



<a>
Computed, not measured: a relaxed Sm2TaN3 crystal at the PBE level of DFT.

a b c (Å): 5.696 5.886 5.886
angles (deg): 65.99 89.99 89.99
Positions (direct):
N 0.000 0.153 0.153
N 0.000 0.847 0.847
N 0.750 0.602 0.398
N 0.500 0.847 0.847
N 0.250 0.398 0.602
Sm 0.250 0.834 0.512
Sm 0.750 0.512 0.834
N 0.500 0.153 0.153
Sm 0.250 0.488 0.166
Sm 0.750 0.166 0.488
Ta 0.750 0.901 0.099
Ta 0.250 0.099 0.901

Computed properties:
magnetic moment = 0.000 μB per formula unit
space group = Cmcm (63)
crystal system = orthorhombic



<b>
Computed, not measured: a relaxed Sm2TaN3 crystal at the PBE level of DFT.

a b c (Å): 5.538 6.178 12.239
angles (deg): 88.01 85.55 63.37
Positions (direct):
N 0.864 0.653 0.614
N 0.125 0.204 0.961
N 0.988 0.023 0.250
Sm 0.420 0.601 0.640
N 0.484 0.653 0.886
Sm 0.979 0.601 0.860
N 0.357 0.286 0.750
N 0.012 0.977 0.750
Ta 0.707 0.992 0.669
Ta 0.301 0.992 0.831
Ta 0.293 0.008 0.331
N 0.643 0.714 0.250
Sm 0.580 0.399 0.360
N 0.328 0.796 0.461
N 0.136 0.347 0.386
Sm 0.662 0.230 0.922
Sm 0.108 0.230 0.578
Sm 0.338 0.770 0.078
N 0.875 0.796 0.039
Sm 0.892 0.770 0.422
N 0.672 0.204 0.539
Sm 0.021 0.399 0.140
N 0.516 0.347 0.114
Ta 0.699 0.008 0.169

Computed properties:
magnetic moment = 0.000 μB per formula unit
space group = C2/c (15)
crystal system = monoclinic



Pick <b>: it beats the second-best structure by 8.0 kJ/mol of atoms.